[1]
This record from Alexandria describes a geometry-optimized Na2LiAs3Pt4 structure. The functional is GGA-PBE.

Structure (POSCAR):
```
Na2LiAs3Pt4
1.0
4.285 0.000 0.000
0.000 4.285 0.000
0.000 0.000 10.212
Na Li As Pt
2 1 3 4
Cartesian
0.000 2.142 2.506
2.142 0.000 7.706
2.142 2.142 0.000
0.000 0.000 0.000
0.000 2.142 6.485
2.142 0.000 3.727
0.000 0.000 5.106
0.000 2.142 8.909
2.142 0.000 1.304
2.142 2.142 5.106
```

Properties
DFT formation energy in eV/f.u.: -4.82
Uncorrected energy in eV/atom: -4.75
Space-group type: P-4m2

[2]
This record from Alexandria describes a geometry-optimized Na2LiAs2Pt structure. The functional is GGA-PBE.

Structure (POSCAR):
```
Na2LiAs2Pt
1.0
-2.912 7.169 2.962
2.912 -7.169 2.962
2.912 7.169 -2.962
Na Li As Pt
4 2 4 2
Cartesian
1.415 2.515 0.000
1.415 -2.515 2.962
1.498 9.684 0.000
1.498 4.654 2.962
0.000 0.000 1.481
0.000 0.000 4.443
4.249 1.561 0.000
1.337 5.608 0.000
1.575 1.561 2.962
-1.337 5.608 2.962
2.912 0.000 1.481
0.000 7.169 1.481
```

Properties
DFT formation energy in eV/f.u.: -2.80
Uncorrected energy in eV/atom: -3.78
Space-group type: Ibam

[3]
This record from Alexandria describes a geometry-optimized NaLi2As2Pt structure. The functional is GGA-PBE.

Structure (POSCAR):
```
NaLi2As2Pt
1.0
5.026 0.000 0.000
0.000 5.026 0.000
0.000 0.000 10.700
Na Li As Pt
2 4 4 2
Cartesian
0.000 0.000 0.000
2.513 2.513 5.350
0.000 2.513 2.675
0.000 2.513 8.025
2.513 0.000 2.675
2.513 0.000 8.025
0.000 0.000 3.010
0.000 0.000 7.690
2.513 2.513 2.340
2.513 2.513 8.360
0.000 0.000 5.350
2.513 2.513 0.000
```

Properties
DFT formation energy in eV/f.u.: -1.61
Uncorrected energy in eV/atom: -3.68
Space-group type: I4/mmm

Repeat the first record exactly.
This record from Alexandria describes a geometry-optimized Na2LiAs3Pt4 structure. The functional is GGA-PBE.

Structure (POSCAR):
```
Na2LiAs3Pt4
1.0
4.285 0.000 0.000
0.000 4.285 0.000
0.000 0.000 10.212
Na Li As Pt
2 1 3 4
Cartesian
0.000 2.142 2.506
2.142 0.000 7.706
2.142 2.142 0.000
0.000 0.000 0.000
0.000 2.142 6.485
2.142 0.000 3.727
0.000 0.000 5.106
0.000 2.142 8.909
2.142 0.000 1.304
2.142 2.142 5.106
```

Properties
DFT formation energy in eV/f.u.: -4.82
Uncorrected energy in eV/atom: -4.75
Space-group type: P-4m2